VASP calculation (PBE) on a relaxed ReNiBPIr crystal.

## Properties
Energy above the most stable polymorph in this dataset ... 0.0926 eV/atom
SG ... Cm
Formation energy from the elements ... -0.43 eV per formula unit

abc: 5.1606 2.8866 9.6704
angles: 90.00 119.49 90.00
Last column: nearest neighbours and their distance in Å.
Fractional coordinates of all 10 atoms:
Ni 0.2389 0.0000 0.9368  2 B 2.08, 2 P 2.27
Ni 0.2389 0.5000 0.4368  2 B 2.08, 2 P 2.27
Ir 0.0562 0.0000 0.6164  2 B 2.19, 1 P 2.33
Ir 0.0562 0.5000 0.1164  2 B 2.19, 1 P 2.33
B 0.3135 0.0000 0.3052  2 Ni 2.08, 2 Re 2.17, 2 Ir 2.19
B 0.3135 0.5000 0.8052  2 Ni 2.08, 2 Re 2.17, 2 Ir 2.19
P 0.5955 0.5000 0.1054  2 Ni 2.27, 1 Re 2.30, 1 Ir 2.33, 1 B 2.53
P 0.5955 0.0000 0.6054  2 Ni 2.27, 1 Re 2.30, 1 Ir 2.33, 1 B 2.53
Re 0.6647 0.0000 0.8590  2 B 2.17, 1 P 2.30
Re 0.6647 0.5000 0.3590  2 B 2.17, 1 P 2.30

VASP calculation (PBE) on a relaxed ReNiBPIr crystal.

## Properties
Energy above the most stable polymorph in this dataset ... 0.0909 eV/atom
SG ... Pm
Formation energy from the elements ... -0.44 eV per formula unit

abc: 4.4727 2.9194 4.8602
angles: 90.00 106.38 90.00
Last column: nearest neighbours and their distance in Å.
Fractional coordinates of all 5 atoms:
Ir 0.8560 0.5000 0.7898  2 B 2.28, 2 P 2.31-2.33
P 0.3175 0.5000 0.6579  1 Ni 2.21, 2 B 2.24, 2 Ir 2.31-2.33, 2 Re 2.33
B 0.5719 0.0000 0.4561  2 Ni 2.10, 2 P 2.24, 1 Re 2.26, 2 Ir 2.28
Re 0.0144 0.0000 0.3179  2 B 2.26-2.39, 2 P 2.33
Ni 0.4635 0.5000 0.1326  2 B 2.10, 1 P 2.21

VASP calculation (PBE) on a relaxed ReNiBPIr crystal.

## Properties
Energy above the most stable polymorph in this dataset ... 0.0728 eV/atom
SG ... Cm
Formation energy from the elements ... -0.53 eV per formula unit

abc: 2.8957 5.0312 5.2002
angles: 118.62 106.13 90.04
Last column: nearest neighbours and their distance in Å.
Fractional coordinates of all 5 atoms:
B 0.1968 0.6197 0.3101  2 Ni 2.04, 2 Re 2.16, 2 Ir 2.23
Ir 0.5604 0.2425 0.0373  2 B 2.23, 2 P 2.38
Ni 0.6390 0.8285 0.1934  2 B 2.04, 1 P 2.22
P 0.8719 0.2429 0.6597  1 Ni 2.22, 1 Re 2.34, 2 Ir 2.38
Re 0.8754 0.7120 0.6683  2 B 2.16, 1 P 2.34

VASP calculation (PBE) on a relaxed ReNiBPIr crystal.

## Properties
Energy above the most stable polymorph in this dataset ... 0.1924 eV/atom
SG ... Cm
Formation energy from the elements ... 0.06 eV per formula unit

abc: 5.7985 3.0674 7.8599
angles: 90.00 116.70 90.00
Last column: nearest neighbours and their distance in Å.
Fractional coordinates of all 10 atoms:
Re 0.4989 0.5000 0.5305  3 B 2.22-2.43
Re 0.4989 0.0000 0.0305  3 B 2.22-2.43
Ni 0.2186 0.5000 0.1487  2 B 1.98
Ni 0.2186 0.0000 0.6487  2 B 1.98
B 0.4136 0.5000 0.8058  2 Ni 1.98
B 0.4136 0.0000 0.3058  2 Ni 1.98
Ir 0.0165 0.5000 0.8046  1 B 2.30, 2 P 2.35, 3 Ni 2.42-2.55
Ir 0.0165 0.0000 0.3046  1 B 2.30, 2 P 2.35, 3 Ni 2.42-2.55
P 0.7212 0.5000 0.3220  2 B 2.31, 2 Ir 2.35, 3 Re 2.50-2.57
P 0.7212 0.0000 0.8220  2 B 2.31, 2 Ir 2.35, 3 Re 2.50-2.57

VASP calculation (PBE) on a relaxed ReNiBPIr crystal.

## Properties
Energy above the most stable polymorph in this dataset ... 0.1460 eV/atom
SG ... P1
Formation energy from the elements ... -0.17 eV per formula unit

abc: 3.1932 4.3204 5.3235
angles: 68.08 72.60 68.46
Last column: nearest neighbours and their distance in Å.
Fractional coordinates of all 5 atoms:
Re 0.9540 0.9334 0.3924  2 B 2.23-2.25, 3 P 2.33-2.35
Ni 0.5947 0.3433 0.7077  3 B 2.22-2.41, 2 P 2.43-2.44
P 0.2599 0.3773 0.3393  1 B 2.27, 3 Re 2.33-2.35, 2 Ni 2.43-2.44, 2 Ir 2.44-2.45
Ir 0.7930 0.6752 0.9819  2 B 2.12-2.13
B 0.3187 0.8940 0.7099  2 Ir 2.12-2.13, 1 Ni 2.22, 2 Re 2.23-2.25, 1 P 2.27

VASP calculation (PBE) on a relaxed ReNiBPIr crystal.

## Properties
Energy above the most stable polymorph in this dataset ... 0.0000 eV/atom
SG ... Cm
Formation energy from the elements ... -0.90 eV per formula unit

abc: 6.5662 2.9109 8.2499
angles: 90.00 126.66 90.00
Last column: nearest neighbours and their distance in Å.
Fractional coordinates of all 10 atoms:
Re 0.5728 0.0000 0.5424  2 B 2.27, 3 P 2.40-2.43
Re 0.5728 0.5000 0.0424  2 B 2.27, 3 P 2.40-2.43
P 0.7032 0.0000 0.3250  1 Ni 2.24, 1 Ir 2.30, 3 Re 2.40-2.43
P 0.7032 0.5000 0.8250  1 Ni 2.24, 1 Ir 2.30, 3 Re 2.40-2.43
B 0.2783 0.5000 0.3072  2 Ni 2.04, 2 Ir 2.14, 2 Re 2.27
B 0.2783 0.0000 0.8072  2 Ni 2.04, 2 Ir 2.14, 2 Re 2.27
Ir 0.0359 0.5000 0.8026  2 B 2.14, 1 P 2.30
Ir 0.0359 0.0000 0.3026  2 B 2.14, 1 P 2.30
Ni 0.2787 0.5000 0.6344  2 B 2.04, 1 P 2.24
Ni 0.2787 0.0000 0.1344  2 B 2.04, 1 P 2.24

VASP calculation (PBE) on a relaxed ReNiBPIr crystal.

## Properties
Energy above the most stable polymorph in this dataset ... 0.1459 eV/atom
SG ... Cm
Formation energy from the elements ... -0.17 eV per formula unit

abc: 5.6477 3.0094 8.8625
angles: 90.00 128.05 90.00
Last column: nearest neighbours and their distance in Å.
Fractional coordinates of all 10 atoms:
Ni 0.2099 0.5000 0.1532  2 B 2.08
Ni 0.2099 0.0000 0.6532  2 B 2.08
P 0.6017 0.0000 0.2452  1 B 2.33, 2 Ni 2.37, 3 Re 2.47-2.54, 2 Ir 2.58
P 0.6017 0.5000 0.7452  1 B 2.33, 2 Ni 2.37, 3 Re 2.47-2.54, 2 Ir 2.58
Ir 0.0592 0.5000 0.3693  2 B 2.14
Ir 0.0592 0.0000 0.8693  2 B 2.14
B 0.3057 0.0000 0.3464  2 Ni 2.08, 2 Ir 2.14, 2 Re 2.28, 1 P 2.33
B 0.3057 0.5000 0.8464  2 Ni 2.08, 2 Ir 2.14, 2 Re 2.28, 1 P 2.33
Re 0.6923 0.5000 0.4974  2 B 2.28, 3 P 2.47-2.54, 1 Ni 2.55
Re 0.6923 0.0000 0.9974  2 B 2.28, 3 P 2.47-2.54, 1 Ni 2.55

VASP calculation (PBE) on a relaxed ReNiBPIr crystal.

## Properties
Energy above the most stable polymorph in this dataset ... 0.1206 eV/atom
SG ... Cm
Formation energy from the elements ... -0.29 eV per formula unit

abc: 5.5261 2.9098 8.2911
angles: 90.00 114.35 90.00
Last column: nearest neighbours and their distance in Å.
Fractional coordinates of all 10 atoms:
Re 0.3218 0.5000 0.6496  3 B 2.26-2.44, 2 P 2.35, 1 Ni 2.52
Re 0.3218 0.0000 0.1496  3 B 2.26-2.44, 2 P 2.35, 1 Ni 2.52
Ni 0.1138 0.0000 0.8158  2 B 2.08, 1 P 2.19
Ni 0.1138 0.5000 0.3158  2 B 2.08, 1 P 2.19
Ir 0.8397 0.0000 0.4656  1 B 2.35, 3 P 2.41-2.51
Ir 0.8397 0.5000 0.9656  1 B 2.35, 3 P 2.41-2.51
B 0.3999 0.5000 0.9390  1 P 2.05, 2 Ni 2.08, 1 Re 2.26
B 0.3999 0.0000 0.4390  1 P 2.05, 2 Ni 2.08, 1 Re 2.26
P 0.6792 0.0000 0.6955  1 B 2.05, 1 Ni 2.19
P 0.6792 0.5000 0.1955  1 B 2.05, 1 Ni 2.19